Record 1
Below is Zn2OsBr after structural relaxation, with properties calculated at the GGA-PBE level.

Computed properties:
- energy relative to the lowest polymorph listed for this composition (meV/atom) = 527
- magnetic moment (μB per atom) = 0.000
- calculated volume (Å³/cell) = 129
- formation energy (no corrections) (meV/atom) = 815.2

abc: 3.897 3.897 8.522
angles: 90.00 90.00 90.00
Space group I4/mmm (No. 139)
Unique sites:
Zn1 0.000 0.500 0.250 (multiplicity 4)
Os1 0.000 0.000 0.000 (multiplicity 2)
Br1 0.000 0.000 0.500 (multiplicity 2)

Record 2
Below is Zn2OsBr after structural relaxation, with properties calculated at the GGA-PBE level.

Computed properties:
- energy relative to the lowest polymorph listed for this composition (meV/atom) = 0
- magnetic moment (μB per atom) = 0.000
- calculated volume (Å³/cell) = 72
- formation energy (no corrections) (meV/atom) = 288.0

abc: 2.884 3.196 7.823
angles: 90.00 90.00 90.00
Space group Pmmm (No. 47)
Unique sites:
Zn1 0.000 0.000 0.198 (multiplicity 2)
Os1 0.500 0.500 0.000 (multiplicity 1)
Br1 0.000 0.500 0.500 (multiplicity 1)

Record 3
Below is ZnOs2Br after structural relaxation, with properties calculated at the GGA-PBE level.

Computed properties:
- energy relative to the lowest polymorph listed for this composition (meV/atom) = 165
- magnetic moment (μB per atom) = 0.000
- calculated volume (Å³/cell) = 209
- formation energy (no corrections) (meV/atom) = 546.6

abc: 2.8565 2.8565 29.6336
angles: 90.00 90.00 120.00
Space group R3m (No. 160, hexagonal axes)
Unique sites:
Zn1 0.0000 0.0000 0.0000 (multiplicity 3)
Os1 0.0000 0.0000 0.4743 (multiplicity 3)
Os2 0.0000 0.0000 0.7402 (multiplicity 3)
Br1 0.0000 0.0000 0.2208 (multiplicity 3)

Record 4
Below is Zn2OsBr after structural relaxation, with properties calculated at the GGA-PBE level.

Computed properties:
- energy relative to the lowest polymorph listed for this composition (meV/atom) = 634
- magnetic moment (μB per atom) = 0.250
- calculated volume (Å³/cell) = 425
- formation energy (no corrections) (meV/atom) = 922.0

abc: 6.048 6.048 11.624
angles: 90.00 90.00 90.00
Space group I-42d (No. 122)
Unique sites:
Zn1 0.212 0.250 0.125 (multiplicity 8)
Os1 0.000 0.000 0.000 (multiplicity 4)
Br1 0.000 0.000 0.500 (multiplicity 4)

Record 5
Below is Zn2OsBr after structural relaxation, with properties calculated at the GGA-PBE level.

Computed properties:
- energy relative to the lowest polymorph listed for this composition (meV/atom) = 267
- magnetic moment (μB per atom) = 0.000
- calculated volume (Å³/cell) = 84
- formation energy (no corrections) (meV/atom) = 554.5

abc: 3.409 3.409 7.259
angles: 90.00 90.00 90.00
Space group P4mm (No. 99)
Unique sites:
Zn1 0.000 0.000 0.000 (multiplicity 1)
Zn2 0.500 0.500 0.253 (multiplicity 1)
Os1 0.500 0.500 0.915 (multiplicity 1)
Br1 0.000 0.000 0.449 (multiplicity 1)

Record 6
Below is ZnOs2Br after structural relaxation, with properties calculated at the GGA-PBE level.

Computed properties:
- energy relative to the lowest polymorph listed for this composition (meV/atom) = 645
- magnetic moment (μB per atom) = 0.000
- calculated volume (Å³/cell) = 127
- formation energy (no corrections) (meV/atom) = 1026.9

abc: 2.798 4.925 9.241
angles: 90.00 90.00 90.00
Space group Cmmm (No. 65)
Unique sites:
Zn1 0.000 0.000 0.000 (multiplicity 2)
Os1 0.000 0.500 0.237 (multiplicity 4)
Br1 0.000 0.000 0.500 (multiplicity 2)

Record 7
Below is ZnOs2Br after structural relaxation, with properties calculated at the GGA-PBE level.

Computed properties:
- energy relative to the lowest polymorph listed for this composition (meV/atom) = 1474
- magnetic moment (μB per atom) = 0.000
- calculated volume (Å³/cell) = 339
- formation energy (no corrections) (meV/atom) = 1855.5

abc: 5.787 5.787 10.121
angles: 90.00 90.00 90.00
Space group I-42d (No. 122)
Unique sites:
Zn1 0.000 0.000 0.000 (multiplicity 4)
Os1 0.235 0.250 0.625 (multiplicity 8)
Br1 0.000 0.000 0.500 (multiplicity 4)

Record 8
Below is ZnOsBr after structural relaxation, with properties calculated at the GGA-PBE level.

Computed properties:
- energy relative to the lowest polymorph listed for this composition (meV/atom) = 217
- magnetic moment (μB per atom) = 0.000
- calculated volume (Å³/cell) = 50
- formation energy (no corrections) (meV/atom) = 988.8

abc: 4.4124 4.4124 2.9837
angles: 90.00 90.00 120.00
Space group P-6m2 (No. 187)
Unique sites:
Zn1 0.0000 0.0000 0.0000 (multiplicity 1)
Os1 0.3333 0.6667 0.5000 (multiplicity 1)
Br1 0.6667 0.3333 0.5000 (multiplicity 1)

Record 9
Below is ZnOs2Br after structural relaxation, with properties calculated at the GGA-PBE level.

Computed properties:
- energy relative to the lowest polymorph listed for this composition (meV/atom) = 408
- magnetic moment (μB per atom) = 0.147
- calculated volume (Å³/cell) = 141
- formation energy (no corrections) (meV/atom) = 789.6

abc: 2.785 4.870 10.408
angles: 90.00 90.00 90.00
Space group Cmm2 (No. 35)
Unique sites:
Zn1 0.000 0.000 0.000 (multiplicity 2)
Os1 0.000 0.000 0.572 (multiplicity 2)
Os2 0.000 0.500 0.779 (multiplicity 2)
Br1 0.000 0.500 0.306 (multiplicity 2)

Record 10
Below is Zn2OsBr after structural relaxation, with properties calculated at the GGA-PBE level.

Computed properties:
- energy relative to the lowest polymorph listed for this composition (meV/atom) = 416
- magnetic moment (μB per atom) = 0.000
- calculated volume (Å³/cell) = 134
- formation energy (no corrections) (meV/atom) = 703.6

abc: 9.637 3.088 4.667
angles: 90.00 105.13 90.00
Space group C2/m (No. 12)
Unique sites:
Zn1 0.230 0.000 0.204 (multiplicity 4)
Os1 0.000 0.500 0.000 (multiplicity 2)
Br1 0.000 0.000 0.500 (multiplicity 2)